1.
Material: Rb3NaCl
Method: DFT, PBE
State: optimized geometry

Cell and atoms, written as CIF:
```
data_Rb3NaCl
_cell_length_a 6.640
_cell_length_b 6.640
_cell_length_c 6.640
_cell_angle_alpha 90.00
_cell_angle_beta 90.00
_cell_angle_gamma 90.00
_symmetry_space_group_name_H-M 'P m -3 m'
_symmetry_Int_Tables_number 221
_symmetry_space_group_name_Hall '-P 4 2 3'
loop_
_atom_site_label
_atom_site_fract_x
_atom_site_fract_y
_atom_site_fract_z
Rb1 0.000 0.000 0.500
Na1 0.500 0.500 0.500
Cl1 0.000 0.000 0.000
```

Computed properties:
formation energy from raw total energies = -3.60 eV/f.u.
V = 58.56 A^3/atom
relative energy among the computed polymorphs = 0.0000 eV/atom
crystal system = cubic
uncorrected energy = -1.93 eV per atom

***

2.
Material: Rb2NaCl
Method: DFT, PBE
State: optimized geometry

Cell and atoms, written as CIF:
```
data_Rb2NaCl
_cell_length_a 4.6163
_cell_length_b 4.6163
_cell_length_c 33.2887
_cell_angle_alpha 90.00
_cell_angle_beta 90.00
_cell_angle_gamma 120.00
_symmetry_space_group_name_H-M 'R -3 m'
_symmetry_Int_Tables_number 166
_symmetry_space_group_name_Hall '-R 3 2"'
loop_
_atom_site_label
_atom_site_fract_x
_atom_site_fract_y
_atom_site_fract_z
Rb1 0.0000 0.0000 0.2272
Na1 0.0000 0.0000 0.0000
Cl1 0.0000 0.0000 0.5000
```

Computed properties:
formation energy from raw total energies = -3.56 eV/f.u.
V = 51.20 A^3/atom
relative energy among the computed polymorphs = 0.0000 eV/atom
crystal system = trigonal
uncorrected energy = -2.17 eV per atom

***

3.
Material: RbNaCl2
Method: DFT, PBE
State: optimized geometry

Cell and atoms, written as CIF:
```
data_RbNaCl2
_cell_length_a 3.742
_cell_length_b 3.742
_cell_length_c 7.627
_cell_angle_alpha 90.00
_cell_angle_beta 90.00
_cell_angle_gamma 90.00
_symmetry_space_group_name_H-M 'P 4/m m m'
_symmetry_Int_Tables_number 123
_symmetry_space_group_name_Hall '-P 4 2'
loop_
_atom_site_label
_atom_site_fract_x
_atom_site_fract_y
_atom_site_fract_z
Rb1 0.000 0.000 0.000
Na1 0.000 0.000 0.500
Cl1 0.500 0.500 0.273
```

Computed properties:
formation energy from raw total energies = -6.92 eV/f.u.
V = 26.69 A^3/atom
crystal system = tetragonal
uncorrected energy = -3.22 eV per atom

***

4.
Material: Rb2NaCl2
Method: DFT, PBE
State: optimized geometry

Cell and atoms, written as CIF:
```
data_Rb2NaCl2
_cell_length_a 9.099
_cell_length_b 9.099
_cell_length_c 4.325
_cell_angle_alpha 90.00
_cell_angle_beta 90.00
_cell_angle_gamma 90.00
_symmetry_space_group_name_H-M 'P 4/m b m'
_symmetry_Int_Tables_number 127
_symmetry_space_group_name_Hall '-P 4 2ab'
loop_
_atom_site_label
_atom_site_fract_x
_atom_site_fract_y
_atom_site_fract_z
Rb1 0.149 0.351 0.000
Na1 0.000 0.000 0.500
Cl1 0.155 0.655 0.500
```

Computed properties:
formation energy from raw total energies = -6.88 eV/f.u.
V = 35.80 A^3/atom
relative energy among the computed polymorphs = 0.0000 eV/atom
crystal system = tetragonal
uncorrected energy = -2.76 eV per atom

***

5.
Material: RbNaReCl6
Method: DFT, PBE
State: optimized geometry

Cell and atoms, written as CIF:
```
data_RbNaReCl6
_cell_length_a 6.9688
_cell_length_b 6.9688
_cell_length_c 13.9159
_cell_angle_alpha 90.00
_cell_angle_beta 90.00
_cell_angle_gamma 120.00
_symmetry_space_group_name_H-M 'P -3 1 c'
_symmetry_Int_Tables_number 163
_symmetry_space_group_name_Hall '-P 3 2c'
loop_
_atom_site_label
_atom_site_fract_x
_atom_site_fract_y
_atom_site_fract_z
Rb1 0.0000 0.0000 0.0000
Na1 0.3333 0.6667 0.2500
Re1 0.3333 0.6667 0.7500
Cl1 0.0493 0.3948 0.6506
```

Computed properties:
formation energy from raw total energies = -10.93 eV/f.u.
V = 32.52 A^3/atom
crystal system = trigonal
uncorrected energy = -4.08 eV per atom

***

6.
Material: RbNaRhCl6
Method: DFT, PBE
State: optimized geometry

Cell and atoms, written as CIF:
```
data_RbNaRhCl6
_cell_length_a 6.864
_cell_length_b 11.907
_cell_length_c 7.012
_cell_angle_alpha 90.00
_cell_angle_beta 90.05
_cell_angle_gamma 90.00
_symmetry_space_group_name_H-M 'C 1 2 1'
_symmetry_Int_Tables_number 5
loop_
_symmetry_equiv_pos_as_xyz
'x,y,z'
'-x,y,-z'
'x+1/2,y+1/2,z'
'-x+1/2,y+1/2,-z'
loop_
_atom_site_label
_atom_site_fract_x
_atom_site_fract_y
_atom_site_fract_z
Rb1 0.000 0.000 0.000
Na1 0.000 0.334 0.500
Rh1 0.000 0.667 0.500
Cl1 0.131 0.525 0.305
Cl2 0.147 0.803 0.305
Cl3 0.221 0.172 0.306
```

Computed properties:
formation energy from raw total energies = -9.83 eV/f.u.
V = 31.84 A^3/atom
crystal system = monoclinic
uncorrected energy = -3.39 eV per atom